Arrangement P

Density functional theory data (PBE-GGA) for NaTlIr3 after structural relaxation.

- density of states at the Fermi level (states/eV per atom) = 1.937
- volume (Å³/cell) = 130

abc: 5.0642 5.0642 5.0642
angles: 90.00 90.00 90.00
Space group Pm-3m (No. 221)
Inequivalent atoms, fractional coordinates:
Na: 0.0000 0.0000 0.0000
Tl: 0.5000 0.5000 0.5000
Ir: 0.0000 0.5000 0.5000

=====

Arrangement Q

Density functional theory data (PBE-GGA) for NaTlIr3 after structural relaxation.

- density of states at the Fermi level (states/eV per atom) = 1.477
- volume (Å³/cell) = 95

abc: 4.5696 4.5696 4.5696
angles: 90.00 90.00 90.00
Space group Pm-3m (No. 221)
Inequivalent atoms, fractional coordinates:
Na: 0.0000 0.0000 0.0000
Tl: 0.5000 0.5000 0.5000
Ir: 0.0000 0.0000 0.5000

=====

Energetically preferred structure: arrangement P | next structure: +72 meV per atom

=====

Arrangement P

Density functional theory data (PBE-GGA) for NaV2Ir after structural relaxation.

- density of states at the Fermi level (states/eV per atom) = 1.058
- volume (Å³/cell) = 283

abc: 7.2041 7.2041 5.4472
angles: 90.00 90.00 90.00
Space group I-42d (No. 122)
Inequivalent atoms, fractional coordinates:
Na: 0.0000 0.0000 0.0000
V: 0.1976 0.2500 0.6250
Ir: 0.0000 0.0000 0.5000

=====

Arrangement Q

Density functional theory data (PBE-GGA) for NaV2Ir after structural relaxation.

- density of states at the Fermi level (states/eV per atom) = 1.189
- volume (Å³/cell) = 239

abc: 6.2055 6.2055 6.2055
angles: 90.00 90.00 90.00
Space group Fm-3m (No. 225)
Inequivalent atoms, fractional coordinates:
Na: 0.0000 0.0000 0.0000
V: 0.2500 0.2500 0.2500
Ir: 0.0000 0.0000 0.5000

=====

Energetically preferred structure: arrangement Q | next structure: +259 meV per atom

=====

Arrangement P

Density functional theory data (PBE-GGA) for Na2VIr after structural relaxation.

- density of states at the Fermi level (states/eV per atom) = 1.438
- volume (Å³/cell) = 472

abc: 10.1239 10.1239 4.6005
angles: 90.00 90.00 90.00
Space group I-42d (No. 122)
Inequivalent atoms, fractional coordinates:
Na: 0.1235 0.7500 0.1250
V: 0.0000 0.0000 0.5000
Ir: 0.0000 0.0000 0.0000

=====

Arrangement Q

Density functional theory data (PBE-GGA) for Na2VIr after structural relaxation.

- density of states at the Fermi level (states/eV per atom) = 1.966
- volume (Å³/cell) = 298

abc: 6.6790 6.6790 6.6790
angles: 90.00 90.00 90.00
Space group Fm-3m (No. 225)
Inequivalent atoms, fractional coordinates:
Na: 0.2500 0.2500 0.2500
V: 0.0000 0.0000 0.0000
Ir: 0.0000 0.0000 0.5000

=====

Energetically preferred structure: arrangement P | next structure: +168 meV per atom

=====

Arrangement P

Density functional theory data (PBE-GGA) for Na3YIr after structural relaxation.

- density of states at the Fermi level (states/eV per atom) = 2.651
- volume (Å³/cell) = 184

abc: 5.6907 5.6907 5.6907
angles: 90.00 90.00 90.00
Space group Pm-3m (No. 221)
Inequivalent atoms, fractional coordinates:
Na: 0.0000 0.0000 0.5000
Y: 0.0000 0.0000 0.0000
Ir: 0.5000 0.5000 0.5000

=====

Arrangement Q

Density functional theory data (PBE-GGA) for Na3YIr after structural relaxation.

- density of states at the Fermi level (states/eV per atom) = 0.742
- volume (Å³/cell) = 151

abc: 5.3207 5.3207 5.3207
angles: 90.00 90.00 90.00
Space group Pm-3m (No. 221)
Inequivalent atoms, fractional coordinates:
Na: 0.0000 0.0000 0.5000
Y: 0.5000 0.5000 0.5000
Ir: 0.0000 0.0000 0.0000

=====

Energetically preferred structure: arrangement Q | next structure: +1086 meV per atom

=====

Arrangement P

Density functional theory data (PBE-GGA) for Na2YIr after structural relaxation.

- density of states at the Fermi level (states/eV per atom) = 1.462
- volume (Å³/cell) = 338

abc: 6.9645 6.9645 6.9645
angles: 90.00 90.00 90.00
Space group Fm-3m (No. 225)
Inequivalent atoms, fractional coordinates:
Na: 0.2500 0.2500 0.2500
Y: 0.0000 0.0000 0.0000
Ir: 0.0000 0.0000 0.5000

=====

Arrangement Q

Density functional theory data (PBE-GGA) for Na2YIr after structural relaxation.

- density of states at the Fermi level (states/eV per atom) = 0.460
- volume (Å³/cell) = 383

abc: 4.0330 4.0330 23.5389
angles: 90.00 90.00 90.00
Space group I-42d (No. 122)
Inequivalent atoms, fractional coordinates:
Na: 0.2194 0.2500 0.1250
Y: 0.0000 0.0000 0.5000
Ir: 0.0000 0.0000 0.0000

=====

Energetically preferred structure: arrangement Q | next structure: +338 meV per atom

=====

Arrangement P

Density functional theory data (PBE-GGA) for Na2Zn2Ir after structural relaxation.

- density of states at the Fermi level (states/eV per atom) = 0.922
- volume (Å³/cell) = 215

abc: 3.3232 3.3232 19.4921
angles: 90.00 90.00 90.00
Space group I4/mmm (No. 139)
Inequivalent atoms, fractional coordinates:
Na: 0.0000 0.0000 0.0961
Zn: 0.0000 0.5000 0.2500
Ir: 0.0000 0.0000 0.5000

=====

Arrangement Q

Density functional theory data (PBE-GGA) for Na2Zn2Ir after structural relaxation.

- density of states at the Fermi level (states/eV per atom) = 0.370
- volume (Å³/cell) = 205

abc: 6.4764 6.4764 4.8856
angles: 90.00 90.00 90.00
Space group P4/mbm (No. 127)
Inequivalent atoms, fractional coordinates:
Na: 0.1854 0.3146 0.0000
Zn: 0.1443 0.6443 0.5000
Ir: 0.0000 0.0000 0.5000

=====

Energetically preferred structure: arrangement Q | next structure: +447 meV per atom